(1)
# PBE HoGaRh3, relaxed
data_HoGaRh3
_symmetry_space_group_name_H-M 'P 1'
_symmetry_Int_Tables_number 1
_symmetry_space_group_name_Hall 'P 1'
_cell_length_a 7.7952
_cell_length_b 7.7952
_cell_length_c 4.9349
_cell_angle_alpha 90.00
_cell_angle_beta 90.00
_cell_angle_gamma 127.44
loop_
_atom_site_label
_atom_site_fract_x
_atom_site_fract_y
_atom_site_fract_z
Ho1 0.1183 0.8817 0.7500
Ho2 0.8817 0.1183 0.2500
Ga1 0.3394 0.6606 0.7500
Ga2 0.6606 0.3394 0.2500
Rh1 0.1242 0.2478 0.7500
Rh2 0.2478 0.1242 0.2500
Rh3 0.5000 0.5000 0.0000
Rh4 0.5000 0.5000 0.5000
Rh5 0.7522 0.8758 0.7500
Rh6 0.8758 0.7522 0.2500
# Space group = Cmcm, No. 63
# DOS at the Fermi energy = 10.723 states/eV/cell
# M_tot = 0.16 μB per atom
# Energy relative to the elements = 14 meV/atom

=====

(2)
# PBE Ho5GaRh4, relaxed
data_Ho5GaRh4
_symmetry_space_group_name_H-M 'P 1'
_symmetry_Int_Tables_number 1
_symmetry_space_group_name_Hall 'P 1'
_cell_length_a 3.4519
_cell_length_b 3.4519
_cell_length_c 17.1388
_cell_angle_alpha 90.00
_cell_angle_beta 90.00
_cell_angle_gamma 90.00
loop_
_atom_site_label
_atom_site_fract_x
_atom_site_fract_y
_atom_site_fract_z
Ho1 0.0000 0.0000 0.0000
Ho2 0.0000 0.0000 0.1963
Ho3 0.0000 0.0000 0.3906
Ho4 0.0000 0.0000 0.6094
Ho5 0.0000 0.0000 0.8037
Ga1 0.5000 0.5000 0.5000
Rh1 0.5000 0.5000 0.0982
Rh2 0.5000 0.5000 0.2962
Rh3 0.5000 0.5000 0.7038
Rh4 0.5000 0.5000 0.9018
# Space group = P4/mmm, No. 123
# DOS at the Fermi energy = 6.497 states/eV/cell
# M_tot = 0.00 μB per atom
# Energy relative to the elements = -840 meV/atom